Entry 1:
Compound: Pm2PtI
Source: the Alexandria database
Functional: GGA-PBE
Structure: relaxed

Output
Magnetization (μB per formula unit): 0.0
E above lowest polymorph (meV per atom): 236

Unit cell a=3.628 b=3.628 c=8.389 alpha=90.00 beta=90.00 gamma=90.00
Fractional coordinates of all 4 atoms:
I: 0.500 0.500 0.500
Pt: 0.500 0.500 0.000
Pm: 0.000 0.000 0.795
Pm: 0.000 0.000 0.205

=====

Entry 2:
Compound: Cd4Ag3Hg2
Source: the Alexandria database
Functional: GGA-PBE
Structure: relaxed

Output
Magnetization (μB per formula unit): 0.0
Formation enthalpy at 0 K (meV per atom): 14

Unit cell a=5.425 b=9.717 c=9.717 alpha=50.61 beta=82.51 gamma=82.51
Fractional coordinates of all 18 atoms:
Cd: 0.463 0.164 0.669
Cd: 0.037 0.331 0.836
Cd: 0.537 0.836 0.331
Cd: 0.963 0.669 0.164
Cd: 0.979 0.750 0.551
Cd: 0.521 0.449 0.250
Cd: 0.021 0.250 0.449
Cd: 0.479 0.551 0.750
Ag: 0.947 0.033 0.836
Ag: 0.553 0.164 0.967
Ag: 0.053 0.967 0.164
Ag: 0.447 0.836 0.033
Ag: 0.250 0.543 0.457
Ag: 0.750 0.457 0.543
Hg: 0.278 0.882 0.681
Hg: 0.222 0.319 0.118
Hg: 0.722 0.118 0.319
Hg: 0.778 0.681 0.882

=====

Entry 3:
Compound: Al2TcMo
Source: the Alexandria database
Functional: GGA-PBE
Structure: relaxed

Output
Magnetization (μB per formula unit): 0.0
E above lowest polymorph (meV per atom): 219
Formation enthalpy at 0 K (meV per atom): -142

Unit cell a=2.991 b=2.991 c=6.593 alpha=90.00 beta=90.00 gamma=90.00
Fractional coordinates of all 4 atoms:
Mo: 0.500 0.500 0.250
Tc: 0.500 0.500 0.750
Al: 0.000 0.000 0.980
Al: 0.000 0.000 0.520

=====

Entry 4:
Compound: KPm3
Source: the Alexandria database
Functional: GGA-PBE
Structure: relaxed

Output
Magnetization (μB per formula unit): 0.0
E above lowest polymorph (meV per atom): 0
Formation enthalpy at 0 K (meV per atom): 466

Unit cell a=6.600 b=6.600 c=6.600 alpha=132.82 beta=132.82 gamma=68.94
Fractional coordinates of all 4 atoms:
K: 0.000 0.000 0.000
Pm: 0.750 0.250 0.500
Pm: 0.250 0.750 0.500
Pm: 0.500 0.500 0.000

=====

Entry 5:
Compound: H8PdC2NCl3
Source: the Alexandria database
Functional: GGA-PBE
Structure: relaxed

Output
Magnetization (μB per formula unit): 0.0
Uncorrected energy (eV per atom): -4.678

Unit cell a=7.879 b=7.879 c=7.534 alpha=91.33 beta=91.33 gamma=117.83
Fractional coordinates of all 30 atoms:
H: 0.570 0.080 0.808
H: 0.495 0.202 0.969
H: 0.737 0.256 0.544
H: 0.744 0.263 0.956
H: 0.506 0.325 0.680
H: 0.920 0.430 0.692
H: 0.325 0.506 0.180
H: 0.202 0.495 0.469
H: 0.798 0.505 0.531
H: 0.675 0.494 0.820
H: 0.080 0.570 0.308
H: 0.494 0.675 0.320
H: 0.256 0.737 0.044
H: 0.263 0.744 0.456
H: 0.505 0.798 0.031
H: 0.430 0.920 0.192
Pd: 0.000 0.000 0.500
Pd: 0.000 0.000 0.000
C: 0.609 0.216 0.881
C: 0.784 0.391 0.619
C: 0.216 0.609 0.381
C: 0.391 0.784 0.119
N: 0.635 0.365 0.750
N: 0.365 0.635 0.250
Cl: 0.898 0.102 0.250
Cl: 0.319 0.188 0.427
Cl: 0.188 0.319 0.927
Cl: 0.812 0.681 0.073
Cl: 0.681 0.812 0.573
Cl: 0.102 0.898 0.750

=====

Entry 6:
Compound: Si2BOsC
Source: the Alexandria database
Functional: GGA-PBE
Structure: relaxed

Output
Magnetization (μB per formula unit): 0.0
Uncorrected energy (eV per atom): -5.993

Unit cell a=4.721 b=3.821 c=4.721 alpha=90.00 beta=90.00 gamma=90.00
Fractional coordinates of all 5 atoms:
Si: 0.000 0.000 0.500
Si: 0.500 0.000 0.000
B: 0.500 0.500 0.500
Os: 0.000 0.000 0.000
C: 0.000 0.500 0.000

=====

Entry 7:
Compound: CeInHg6
Source: the Alexandria database
Functional: GGA-PBE
Structure: relaxed

Output
Magnetization (μB per formula unit): 1.2
E above lowest polymorph (meV per atom): 7
Formation enthalpy at 0 K (meV per atom): -136

Unit cell a=4.961 b=6.685 c=6.685 alpha=110.68 beta=90.00 gamma=90.00
Last column: magnetic moment on the atom in μB.
Fractional coordinates of all 8 atoms:
Ce: 0.000 0.125 0.875  0.97
In: 0.500 0.369 0.631  0.00
Hg: 0.000 0.077 0.368  0.01
Hg: 0.000 0.632 0.923  0.01
Hg: 0.000 0.587 0.413  0.00
Hg: 0.500 0.421 0.138  0.00
Hg: 0.500 0.862 0.579  0.00
Hg: 0.500 0.926 0.074  0.00

=====

Entry 8:
Compound: FeIrOs2W
Source: the Alexandria database
Functional: GGA-PBE
Structure: relaxed

Output
Magnetization (μB per formula unit): 0.1
Formation enthalpy at 0 K (meV per atom): 2531

Unit cell a=4.691 b=4.702 c=4.691 alpha=90.00 beta=90.00 gamma=90.00
Last column: magnetic moment on the atom in μB.
Fractional coordinates of all 5 atoms:
Ir: 0.000 0.500 0.000  -0.02
Os: 0.000 0.000 0.500  0.07
Os: 0.500 0.000 0.000  0.08
Fe: 0.500 0.500 0.500  -0.22
W: 0.000 0.000 0.000  0.01

=====

| no. | mass density (Mg/m³) |
| --- | --- |
| 1 | 9.20 |
| 2 | 9.96 |
| 3 | 6.98 |
| 4 | 5.19 |
| 5 | 2.08 |
| 6 | 5.25 |
| 7 | 11.68 |
| 8 | 13.04 |